# 1
GaS2ClO at its PBEsol-relaxed geometry. Source: Alexandria via LeMat-Bulk, functional meta-GGA SCAN.

Cell: 3.852 3.852 5.800 Å, 90.00 90.00 90.00°
Sites, in units of the cell vectors:
O: 0.000 0.000 0.000
S: 0.000 0.500 0.000
Cl: 0.000 0.000 0.500
S: 0.500 0.000 0.000
Ga: 0.500 0.500 0.500

Values from the calculation:
M_tot: 0.000 μB per cell
Density of states at the Fermi level: 0.41 states/eV per atom
Energy relative to the elements, uncorrected: 298 meV per atom
Total DFT energy (no corrections): -9.6639 eV/atom

***

# 2
Sr3Ga2Cl2O5 at its PBEsol-relaxed geometry. Source: Alexandria via LeMat-Bulk, functional meta-GGA SCAN.

Cell: 9.526 9.520 9.545 Å, 90.00 90.00 90.00°
Sites, in units of the cell vectors:
Ga: 0.357 0.155 0.655
Ga: 0.857 0.345 0.345
Cl: 0.985 0.078 0.935
O: 0.763 0.218 0.239
Cl: 0.485 0.422 0.065
Cl: 0.515 0.922 0.435
Sr: 0.706 0.669 0.506
Sr: 0.294 0.169 0.994
O: 0.737 0.782 0.739
O: 0.717 0.739 0.258
Sr: 0.833 0.975 0.237
Sr: 0.167 0.475 0.263
Cl: 0.407 0.536 0.452
Cl: 0.593 0.036 0.048
Sr: 0.974 0.747 0.833
Cl: 0.907 0.964 0.548
O: 0.470 0.716 0.911
O: 0.237 0.718 0.261
O: 0.783 0.261 0.758
O: 0.774 0.589 0.970
Sr: 0.526 0.253 0.333
Sr: 0.333 0.525 0.763
O: 0.283 0.239 0.242
Sr: 0.794 0.331 0.006
O: 0.912 0.483 0.218
Sr: 0.667 0.025 0.737
Ga: 0.660 0.353 0.645
O: 0.588 0.517 0.718
Ga: 0.643 0.655 0.845
Sr: 0.474 0.753 0.167
Ga: 0.840 0.647 0.145
Ga: 0.143 0.845 0.155
O: 0.412 0.017 0.782
Cl: 0.093 0.464 0.952
Sr: 0.206 0.831 0.494
O: 0.274 0.911 0.030
O: 0.970 0.784 0.089
Ga: 0.160 0.147 0.355
Ga: 0.340 0.853 0.855
O: 0.030 0.284 0.411
O: 0.530 0.216 0.589
O: 0.263 0.282 0.761
O: 0.217 0.761 0.742
O: 0.226 0.089 0.530
O: 0.726 0.411 0.470
O: 0.088 0.983 0.282
Cl: 0.015 0.578 0.565
Sr: 0.026 0.247 0.667

Values from the calculation:
M_tot: 0.000 μB per cell
Density of states at the Fermi level: 0.00 states/eV per atom
Energy relative to the elements, uncorrected: -2669 meV per atom
Total DFT energy (no corrections): -14.8880 eV/atom